Below is PmY3Pd3 after structural relaxation, with properties calculated at the GGA-PBE level.

Unit cell a=9.3400 b=10.5097 c=7.1473 alpha=90.00 beta=91.65 gamma=90.00
Closest atoms and distances in Å follow each position.
Space group C2/m (No. 12)
Unique sites:
Pm1 0.2367 0.0000 0.3766 x4  4 Pd 2.84-3.09
Y1 0.0000 0.2513 0.5000 x4  6 Pd 3.02-3.08
Y2 0.0000 0.3224 0.0000 x4  6 Pd 2.83-3.01
Y3 0.1539 0.0000 0.8663 x4  3 Pd 2.88-2.96
Pd1 0.0620 0.5000 0.3059 x4  2 Pm 2.91-3.09, 5 Y 2.92-3.02, 3 Pd 3.04-3.20
Pd2 0.2430 0.2489 0.2207 x8  5 Y 2.83-3.08, 1 Pm 2.84, 1 Pd 3.16

Summary:
DFT formation energy = -666 meV/atom

=====

Below is PmYPd3 after structural relaxation, with properties calculated at the GGA-PBE level.

Unit cell a=7.8132 b=13.5696 c=4.1007 alpha=90.00 beta=90.00 gamma=90.00
Closest atoms and distances in Å follow each position.
Space group Cmmm (No. 65)
Unique sites:
Pm1 0.0000 0.0000 0.0000 x2  12 Pd 3.41-3.55
Pm2 0.0000 0.5000 0.0000 x2  8 Pd 2.93
Y1 0.2500 0.2500 0.0000 x4  8 Pd 2.88-2.89
Pd1 0.0000 0.2133 0.5000 x4  4 Pd 2.79-2.95, 4 Y 2.88
Pd2 0.1996 0.3976 0.5000 x8  3 Pd 2.78-2.95, 2 Y 2.89, 2 Pm 2.93

Summary:
Distance to the lowest polymorph of the same formula = 22 meV/atom
DFT formation energy = -797 meV/atom

=====

Below is Pm4Y3Pd4 after structural relaxation, with properties calculated at the GGA-PBE level.

Unit cell a=3.8934 b=9.4401 c=15.9308 alpha=90.00 beta=90.00 gamma=90.00
Closest atoms and distances in Å follow each position.
Space group Immm (No. 71)
Unique sites:
Pm1 0.0000 0.1863 0.1595 x8  3 Pd 2.93-2.96
Y1 0.0000 0.0000 0.3910 x4  6 Pd 3.01-3.03
Y2 0.0000 0.5000 0.5000 x2  8 Pm 3.65, 6 Pd 3.77-3.91, 2 Y 3.89
Pd1 0.0000 0.3415 0.0000 x4  2 Pm 2.93, 1 Pd 2.99, 4 Y 3.01
Pd2 0.0000 0.5000 0.2547 x4  4 Pm 2.96, 2 Y 3.03

Summary:
DFT formation energy = -531 meV/atom

=====

Below is PmY6Pd3 after structural relaxation, with properties calculated at the GGA-PBE level.

Unit cell a=11.4437 b=13.2804 c=7.2815 alpha=90.00 beta=90.00 gamma=90.00
Closest atoms and distances in Å follow each position.
Space group Cmc2_1 (No. 36)
Unique sites:
Pm1 0.0000 0.1835 0.0000 x4  1 Pd 2.84
Y1 0.0000 0.2693 0.4773 x4  3 Pd 2.78-2.79
Y2 0.0000 0.4672 0.1204 x4  4 Pd 3.17-3.18
Y3 0.1696 0.0396 0.6275 x8  4 Pd 2.77-2.93
Y4 0.2267 0.3078 0.7803 x8  2 Pd 2.96-3.06
Pd1 0.0000 0.0752 0.3360 x4  5 Y 2.78-2.91, 1 Pm 2.84
Pd2 0.1886 0.3979 0.4136 x8  5 Y 2.77-3.06

Summary:
DFT formation energy = -496 meV/atom

=====

Below is Pm3Y3Pd4 after structural relaxation, with properties calculated at the GGA-PBE level.

Unit cell a=3.9488 b=11.1148 c=11.3762 alpha=90.00 beta=90.00 gamma=90.00
Closest atoms and distances in Å follow each position.
Space group Amm2 (No. 38)
Unique sites:
Pm1 0.0000 0.0000 0.0000 x2  6 Pd 3.09-3.13
Pm2 0.5000 0.2484 0.0909 x4  4 Pd 3.08-3.20
Y1 0.0000 0.0000 0.6717 x2  6 Pd 3.02-3.07
Y2 0.0000 0.1645 0.3416 x4  6 Pd 3.02-3.06
Pd1 0.5000 0.0000 0.2138 x2  1 Pd 2.92, 4 Y 3.06, 4 Pm 3.09-3.13
Pd2 0.5000 0.0000 0.4705 x2  1 Pd 2.92, 6 Y 3.02-3.06, 2 Pm 3.11
Pd3 0.5000 0.1303 0.8345 x4  1 Pd 2.90, 4 Y 3.02-3.07, 4 Pm 3.08-3.20

Summary:
DFT formation energy = -676 meV/atom

=====

Below is PmY4Pd2 after structural relaxation, with properties calculated at the GGA-PBE level.

Unit cell a=3.9094 b=3.9094 c=46.7556 alpha=90.00 beta=90.00 gamma=120.00
Closest atoms and distances in Å follow each position.
Space group R-3m (No. 166, hexagonal axes)
Unique sites:
Pm1 0.0000 0.0000 0.0000 x3  6 Y 3.67, 6 Pm 3.91
Y1 0.0000 0.0000 0.1979 x6  3 Pd 2.84
Y2 0.0000 0.0000 0.3952 x6  3 Pd 2.84
Pd1 0.0000 0.0000 0.0986 x6  6 Y 2.84

Summary:
DFT formation energy = -363 meV/atom

=====

Below is PmY4Pd5 after structural relaxation, with properties calculated at the GGA-PBE level.

Unit cell a=3.4983 b=3.4983 c=18.0307 alpha=90.00 beta=90.00 gamma=90.00
Closest atoms and distances in Å follow each position.
Space group P4/mmm (No. 123)
Unique sites:
Pm1 0.0000 0.0000 0.0000 x1  8 Pd 3.13, 4 Pm 3.50
Y1 0.0000 0.0000 0.2032 x2  8 Pd 3.03-3.05
Y2 0.0000 0.0000 0.4011 x2  8 Pd 3.05
Pd1 0.5000 0.5000 0.1062 x2  4 Y 3.03, 4 Pm 3.13
Pd2 0.5000 0.5000 0.3021 x2  8 Y 3.05
Pd3 0.5000 0.5000 0.5000 x1  8 Y 3.05

Summary:
DFT formation energy = -848 meV/atom

=====

Below is Pm2YPd after structural relaxation, with properties calculated at the GGA-PBE level.

Unit cell a=7.1671 b=10.0518 c=6.4989 alpha=90.00 beta=90.00 gamma=90.00
Closest atoms and distances in Å follow each position.
Space group Pnma (No. 62)
Unique sites:
Pm1 0.1828 0.0603 0.1714 x8  2 Pd 2.94-2.96
Y1 0.0279 0.2500 0.6422 x4  2 Pd 2.89-2.91
Pd1 0.1135 0.7500 0.9377 x4  2 Y 2.89-2.91, 4 Pm 2.94-2.96

Summary:
Distance to the lowest polymorph of the same formula = 0 meV/atom
DFT formation energy = -433 meV/atom

=====

What did we get for energy? Answer: -6.341 -6.156 -5.910 -6.408 -6.118 -6.219 -6.505 -5.723 eV/atom, in the order shown.
What did we get for total moment? Answer: 0.00 0.00 0.00 0.00 0.00 0.00 0.00 0.00 Bohr magnetons per cell, in the order shown.